An optimized crystal structure of Cr3Cu2SbS8. Source: the Alexandria database, functional PBEsol.

The structure in POSCAR format:
```
Cr3Cu2SbS8
1.0
3.449 1.991 5.858
-3.449 1.991 5.858
0.000 -3.982 5.858
Cr Cu Sb S
3 2 1 8
Direct
0.000 0.500 0.500
0.500 0.000 0.500
0.500 0.500 0.000
0.131 0.131 0.131
0.869 0.869 0.869
0.500 0.500 0.500
0.244 0.244 0.734
0.244 0.734 0.244
0.259 0.259 0.259
0.266 0.756 0.756
0.734 0.244 0.244
0.741 0.741 0.741
0.756 0.266 0.756
0.756 0.756 0.266
```

Summary:
VASP energy = -6.20 eV/atom
formation energy (no corrections) = -0.5555 eV/atom
total moment = 7.8 μB/cell
density = 4.6 Mg/m³

***

An optimized crystal structure of ZrCrCuS4. Source: the Alexandria database, functional PBEsol.

The structure in POSCAR format:
```
ZrCrCuS4
1.0
-3.571 4.957 3.558
3.571 -4.957 3.558
3.571 4.957 -3.558
Zr Cr Cu S
2 2 2 8
Direct
0.249 0.250 0.499
0.751 0.750 0.501
0.249 0.249 0.000
0.249 0.749 0.500
0.627 0.998 0.129
0.869 0.498 0.871
0.008 0.251 0.760
0.008 0.748 0.257
0.015 0.271 0.244
0.027 0.771 0.756
0.470 0.725 0.245
0.481 0.225 0.755
0.491 0.248 0.240
0.491 0.751 0.743
```

Summary:
VASP energy = -6.89 eV/atom
formation energy (no corrections) = -0.9999 eV/atom
total moment = 5.9 μB/cell
density = 4.4 Mg/m³

***

An optimized crystal structure of CrCuSb. Source: the Alexandria database, functional PBEsol.

The structure in POSCAR format:
```
CrCuSb
1.0
3.186 0.000 0.000
-1.593 2.759 0.000
0.000 0.000 5.928
Cr Cu Sb
1 1 1
Direct
0.000 0.000 0.000
0.333 0.667 0.703
0.667 0.333 0.357
```

Summary:
VASP energy = -5.79 eV/atom
formation energy (no corrections) = 0.5830 eV/atom
total moment = 3.5 μB/cell
density = 7.6 Mg/m³

***

An optimized crystal structure of CrCu2Sb. Source: the Alexandria database, functional PBEsol.

The structure in POSCAR format:
```
CrCu2Sb
1.0
3.212 0.000 0.000
0.000 3.554 0.000
0.000 0.000 5.331
Cr Cu Sb
1 2 1
Direct
0.000 0.000 0.000
0.500 0.500 0.231
0.500 0.500 0.769
0.000 0.000 0.500
```

Summary:
VASP energy = -5.55 eV/atom
formation energy (no corrections) = 0.3213 eV/atom
total moment = 3.6 μB/cell
density = 8.2 Mg/m³

***

An optimized crystal structure of CrCuSb4. Source: the Alexandria database, functional PBEsol.

The structure in POSCAR format:
```
CrCuSb4
1.0
0.000 4.266 4.266
4.266 0.000 4.266
4.266 4.266 0.000
Cr Cu Sb
1 1 4
Direct
0.000 0.000 0.000
0.750 0.750 0.750
0.376 0.376 0.376
0.376 0.376 0.873
0.376 0.873 0.376
0.873 0.376 0.376
```

Summary:
VASP energy = -4.58 eV/atom
formation energy (no corrections) = 0.8844 eV/atom
total moment = 4.3 μB/cell
density = 6.4 Mg/m³

***

An optimized crystal structure of ScCrCu2Sb. Source: the Alexandria database, functional PBEsol.

The structure in POSCAR format:
```
ScCrCu2Sb
1.0
4.492 0.000 0.000
0.000 4.492 0.000
0.000 0.000 4.801
Sc Cr Cu Sb
1 1 2 1
Direct
0.000 0.000 0.000
0.500 0.500 0.500
0.000 0.500 0.500
0.500 0.000 0.500
0.500 0.500 0.000
```

Summary:
VASP energy = -5.46 eV/atom
formation energy (no corrections) = 0.5589 eV/atom
total moment = 2.7 μB/cell
density = 5.9 Mg/m³

***

An optimized crystal structure of ScCr2Cu. Source: the Alexandria database, functional PBEsol.

The structure in POSCAR format:
```
ScCr2Cu
1.0
3.139 0.000 0.000
0.000 4.120 0.000
0.000 0.000 4.354
Sc Cr Cu
1 2 1
Direct
0.000 0.000 0.000
0.000 0.500 0.500
0.500 0.000 0.500
0.500 0.500 0.000
```

Summary:
calculated formation energy = 0.2977 eV per atom
VASP energy = -7.56 eV/atom
total moment = 0.5 μB/cell
density = 6.3 Mg/m³
excess energy over the best structure of this formula in the dataset = 0 meV/atom

***

An optimized crystal structure of ScCr3Cu. Source: the Alexandria database, functional PBEsol.

The structure in POSCAR format:
```
ScCr3Cu
1.0
4.503 0.000 0.000
0.000 4.503 0.000
0.000 0.000 4.503
Sc Cr Cu
1 3 1
Direct
0.000 0.000 0.000
0.000 0.500 0.500
0.500 0.000 0.500
0.500 0.500 0.000
0.500 0.500 0.500
```

Summary:
calculated formation energy = 1.2238 eV per atom
VASP energy = -7.11 eV/atom
total moment = 10.9 μB/cell
density = 4.8 Mg/m³

***

An optimized crystal structure of ScCrCu. Source: the Alexandria database, functional PBEsol.

The structure in POSCAR format:
```
ScCrCu
1.0
0.000 1.900 5.907
1.890 0.000 5.907
1.890 1.900 0.000
Sc Cr Cu
1 1 1
Direct
0.000 0.000 0.000
0.323 0.323 0.677
0.681 0.681 0.319
```

Summary:
calculated formation energy = 0.3155 eV per atom
VASP energy = -6.74 eV/atom
total moment = 0.0 μB/cell
density = 6.3 Mg/m³

***

An optimized crystal structure of ScCr2Cu. Source: the Alexandria database, functional PBEsol.

The structure in POSCAR format:
```
ScCr2Cu
1.0
2.651 0.000 0.000
0.000 4.528 0.000
-0.585 0.000 4.516
Sc Cr Cu
1 2 1
Direct
0.000 0.000 0.000
0.330 0.500 0.763
0.670 0.500 0.237
0.500 0.000 0.500
```

Summary:
calculated formation energy = 0.4220 eV per atom
VASP energy = -7.43 eV/atom
total moment = 0.0 μB/cell
density = 6.5 Mg/m³
excess energy over the best structure of this formula in the dataset = 124 meV/atom

***

An optimized crystal structure of CrCu2Se. Source: the Alexandria database, functional PBEsol.

The structure in POSCAR format:
```
CrCu2Se
1.0
-1.891 1.891 3.815
1.891 -1.891 3.815
1.891 1.891 -3.815
Cr Cu Se
1 2 1
Direct
0.000 0.000 0.000
0.500 0.500 0.000
0.750 0.250 0.500
0.250 0.750 0.500
```

Summary:
VASP energy = -5.38 eV/atom
formation energy (no corrections) = 0.3060 eV/atom
total moment = 3.5 μB/cell
density = 7.9 Mg/m³

***

An optimized crystal structure of CrCuSe. Source: the Alexandria database, functional PBEsol.

The structure in POSCAR format:
```
CrCuSe
1.0
0.000 2.939 2.939
2.939 0.000 2.939
2.939 2.939 0.000
Cr Cu Se
1 1 1
Direct
0.000 0.000 0.000
0.250 0.250 0.250
0.500 0.500 0.500
```

Summary:
VASP energy = -5.76 eV/atom
formation energy (no corrections) = 0.3847 eV/atom
total moment = 4.7 μB/cell
density = 6.4 Mg/m³

***

What did we get for density of states at the Fermi level? Answer: 6.414, 2.916, 2.064, 2.162, 4.073, 3.804, 3.397, 6.542, 2.801, 4.385, 2.863, 1.357 states/eV per cell, in the order shown.